Record 1
A geometry-optimized VMoCl2 structure, computed with PBE.

Magnetic moment   0.0 μB per cell
Raw formation energy   0.225 eV/f.u.
Energy above the lowest structure with this stoichiometry   0 meV/atom

```
data_VMoCl2
_symmetry_space_group_name_H-M 'P 1'
_symmetry_Int_Tables_number 1
_cell_length_a 8.3864
_cell_length_b 8.3864
_cell_length_c 8.3864
_cell_angle_alpha 20.48
_cell_angle_beta 20.48
_cell_angle_gamma 20.48
loop_
_symmetry_equiv_pos_as_xyz
'x,y,z'
loop_
_atom_site_label
_atom_site_type_symbol
_atom_site_fract_x
_atom_site_fract_y
_atom_site_fract_z
V1 V 0.0000 0.0000 0.0000
Mo1 Mo 0.5000 0.5000 0.5000
Cl1 Cl 0.4015 0.4015 0.4015
Cl2 Cl 0.5985 0.5985 0.5985
```

---

Record 2
A geometry-optimized Li2PW structure, computed with PBE.

Magnetic moment   0.0 μB per cell
Energy relative to the elements   0.03 eV per atom

```
data_Li2PW
_symmetry_space_group_name_H-M 'P 1'
_symmetry_Int_Tables_number 1
_cell_length_a 3.0300
_cell_length_b 3.9372
_cell_length_c 4.5827
_cell_angle_alpha 90.00
_cell_angle_beta 90.00
_cell_angle_gamma 90.00
loop_
_symmetry_equiv_pos_as_xyz
'x,y,z'
loop_
_atom_site_label
_atom_site_type_symbol
_atom_site_fract_x
_atom_site_fract_y
_atom_site_fract_z
Li1 Li 0.0000 0.0000 0.0000
Li2 Li 0.5000 0.5000 0.0000
P1 P 0.0000 0.5000 0.5000
W1 W 0.5000 0.0000 0.5000
```

---

Record 3
A geometry-optimized Hf3V8Sn structure, computed with PBE.

Magnetic moment   0.0 μB per cell
Energy relative to the elements   -0.02 eV per atom

```
data_Hf3V8Sn
_symmetry_space_group_name_H-M 'P 1'
_symmetry_Int_Tables_number 1
_cell_length_a 5.1896
_cell_length_b 5.1896
_cell_length_c 8.3656
_cell_angle_alpha 90.00
_cell_angle_beta 90.00
_cell_angle_gamma 120.00
loop_
_symmetry_equiv_pos_as_xyz
'x,y,z'
loop_
_atom_site_label
_atom_site_type_symbol
_atom_site_fract_x
_atom_site_fract_y
_atom_site_fract_z
Hf1 Hf 0.0000 0.0000 0.0000
Hf2 Hf 0.0000 0.0000 0.3728
Hf3 Hf 0.3333 0.6667 0.8759
V1 V 0.3271 0.1635 0.6887
V2 V 0.5009 0.0019 0.1895
V3 V 0.5009 0.4991 0.1895
V4 V 0.6667 0.3333 0.4312
V5 V 0.6667 0.3333 0.9320
V6 V 0.8365 0.1635 0.6887
V7 V 0.8365 0.6729 0.6887
V8 V 0.9981 0.4991 0.1895
Sn1 Sn 0.3333 0.6667 0.5001
```

---

Record 4
A geometry-optimized FeHgHS2 structure, computed with PBE.

Magnetic moment   0.0 μB per cell
Calculated total energy   -3.802 eV per atom

```
data_FeHgHS2
_symmetry_space_group_name_H-M 'P 1'
_symmetry_Int_Tables_number 1
_cell_length_a 4.5618
_cell_length_b 4.5618
_cell_length_c 3.4751
_cell_angle_alpha 90.00
_cell_angle_beta 90.00
_cell_angle_gamma 90.00
loop_
_symmetry_equiv_pos_as_xyz
'x,y,z'
loop_
_atom_site_label
_atom_site_type_symbol
_atom_site_fract_x
_atom_site_fract_y
_atom_site_fract_z
Fe1 Fe 0.0000 0.0000 0.0000
Hg1 Hg 0.5000 0.5000 0.5000
H1 H 0.0000 0.0000 0.5000
S1 S 0.0000 0.5000 0.0000
S2 S 0.5000 0.0000 0.0000
```

---

Record 5
A geometry-optimized YThO structure, computed with PBE.

Magnetic moment   0.0 μB per cell
Raw formation energy   -5.167 eV/f.u.
Energy above the lowest structure with this stoichiometry   0 meV/atom

```
data_YThO
_symmetry_space_group_name_H-M 'P 1'
_symmetry_Int_Tables_number 1
_cell_length_a 3.8140
_cell_length_b 3.8140
_cell_length_c 5.6838
_cell_angle_alpha 90.00
_cell_angle_beta 90.00
_cell_angle_gamma 120.00
loop_
_symmetry_equiv_pos_as_xyz
'x,y,z'
loop_
_atom_site_label
_atom_site_type_symbol
_atom_site_fract_x
_atom_site_fract_y
_atom_site_fract_z
Y1 Y 0.0000 0.0000 0.0000
Th1 Th 0.3333 0.6667 0.5000
O1 O 0.3333 0.6667 0.0000
```

---

Record 6
A geometry-optimized NaTbPbI6 structure, computed with PBE.

Magnetic moment   0.0 μB per cell
Raw formation energy   -9.943 eV/f.u.

```
data_NaTbPbI6
_symmetry_space_group_name_H-M 'P 1'
_symmetry_Int_Tables_number 1
_cell_length_a 7.9687
_cell_length_b 7.9687
_cell_length_c 14.4477
_cell_angle_alpha 90.00
_cell_angle_beta 90.00
_cell_angle_gamma 120.00
loop_
_symmetry_equiv_pos_as_xyz
'x,y,z'
loop_
_atom_site_label
_atom_site_type_symbol
_atom_site_fract_x
_atom_site_fract_y
_atom_site_fract_z
Na1 Na 0.0000 0.0000 0.0000
Na2 Na 0.0000 0.0000 0.5000
Tb1 Tb 0.3333 0.6667 0.2500
Tb2 Tb 0.6667 0.3333 0.7500
Pb1 Pb 0.3333 0.6667 0.7500
Pb2 Pb 0.6667 0.3333 0.2500
I1 I 0.0191 0.3574 0.1267
I2 I 0.0191 0.6618 0.3733
I3 I 0.3382 0.3574 0.3733
I4 I 0.3382 0.9809 0.1267
I5 I 0.3574 0.0191 0.6267
I6 I 0.3574 0.3382 0.8733
I7 I 0.6426 0.6618 0.1267
I8 I 0.6426 0.9809 0.3733
I9 I 0.6618 0.0191 0.8733
I10 I 0.6618 0.6426 0.6267
I11 I 0.9809 0.3382 0.6267
I12 I 0.9809 0.6426 0.8733
```